First-principles (PBE) data for a relaxed Cs2GaTcI6 crystal, as listed in the Alexandria database.

a b c (Å): 8.401 8.401 8.401
angles (deg): 60.00 60.00 60.00
Positions (direct):
1 Cs 0.250 0.250 0.250
2 Cs 0.750 0.750 0.750
3 Ga 0.000 0.000 0.000
4 Tc 0.500 0.500 0.500
5 I 0.266 0.266 0.734
6 I 0.266 0.734 0.266
7 I 0.266 0.734 0.734
8 I 0.734 0.266 0.266
9 I 0.734 0.266 0.734
10 I 0.734 0.734 0.266

- Calculated density: 4.733 g cm⁻³
- Formation energy (no corrections): -680 meV/atom
- Electronic total energy: -3.1196 eV per atom